[1]
# Sc2RePb

A geometry-optimized Sc2RePb structure (PBE, the Alexandria database).

**Total magnetization**: 0.00 μB per cell
**V**: 21.4 Å³ per atom
**Final energy**: -7.064 eV/atom
**Fermi-level density of states**: 3.3 states/eV per cell
**Calculated formation energy**: 0.6 eV/f.u.

Cell: 4.690 4.690 6.152 Å, 80.56 80.56 39.97°
Positions (direct):
Pb: 0.250 0.250 0.250
Re: 0.750 0.750 0.750
Sc: 0.011 0.011 0.968
Sc: 0.489 0.489 0.532


[2]
# ScRePb2

A geometry-optimized ScRePb2 structure (PBE, the Alexandria database).

**Total magnetization**: 0.00 μB per cell
**V**: 23.3 Å³ per atom
**Final energy**: -6.288 eV/atom
**Fermi-level density of states**: 4.1 states/eV per cell
**Calculated formation energy**: 1.0 eV/f.u.

Cell: 3.474 3.474 7.726 Å, 90.00 90.00 90.00°
Positions (direct):
Pb: 0.000 0.000 0.959
Pb: 0.500 0.500 0.309
Re: 0.000 0.000 0.528
Sc: 0.500 0.500 0.704


- Number 1 is which compound?
  Sc2RePb